## NaGe2Te (PBE)

Data for crystalline NaGe2Te at its relaxed geometry. Values from VASP.

Structure (Quantum ESPRESSO input):
```
&SYSTEM
  ibrav = 0, nat = 8, ntyp = 3
/
ATOMIC_SPECIES
Na 22.99 Na.upf
Ge 72.64 Ge.upf
Te 127.60 Te.upf
ATOMIC_POSITIONS angstrom
Na 4.237 4.237 0.000
Na 4.237 8.473 1.452
Ge 6.591 2.118 0.726
Ge 1.882 6.355 0.726
Ge 6.355 6.119 2.178
Ge 10.591 10.828 2.178
Te 0.000 0.000 0.000
Te 8.473 4.237 1.452
CELL_PARAMETERS angstrom
8.473 0.000 0.000
0.000 8.473 0.000
4.237 4.237 2.905
```

Calculated values
Total moment   0.00 μB per formula unit
DFT total energy   -0.1231 hartree per atom
Crystal system   tetragonal
V   209 Å³/cell
Theoretical density   4.71 g cm⁻³

## Na3Ge2Te4 (PBE)

Data for crystalline Na3Ge2Te4 at its relaxed geometry. Values from VASP.

Structure (Quantum ESPRESSO input):
```
&SYSTEM
  ibrav = 0, nat = 18, ntyp = 3
/
ATOMIC_SPECIES
Na 22.99 Na.upf
Ge 72.64 Ge.upf
Te 127.60 Te.upf
ATOMIC_POSITIONS angstrom
Na -5.249 2.687 4.523
Na 0.433 1.972 12.342
Na 3.474 -1.557 10.784
Na -2.209 -0.842 2.965
Na 0.630 -1.211 6.875
Na -2.406 2.341 8.432
Ge -0.997 1.925 4.942
Ge 3.356 1.254 8.522
Ge -0.779 -0.795 10.365
Ge -5.131 -0.125 6.785
Te -0.875 -3.337 8.937
Te 1.183 -3.938 5.061
Te -0.901 4.467 6.370
Te -2.959 5.068 10.246
Te 1.512 0.848 4.345
Te 0.638 1.266 9.174
Te -3.288 0.282 10.962
Te -2.414 -0.136 6.133
CELL_PARAMETERS angstrom
-7.156 1.577 3.396
1.594 -5.812 6.241
3.786 5.365 5.670
```

Calculated values
Total moment   0.00 μB per formula unit
DFT total energy   -0.1214 hartree per atom
Crystal system   monoclinic
V   602 Å³/cell
Theoretical density   4.00 g cm⁻³

## NaGeTe4 (PBE)

Data for crystalline NaGeTe4 at its relaxed geometry. Values from VASP.

Structure (Quantum ESPRESSO input):
```
&SYSTEM
  ibrav = 0, nat = 12, ntyp = 3
/
ATOMIC_SPECIES
Na 22.99 Na.upf
Ge 72.64 Ge.upf
Te 127.60 Te.upf
ATOMIC_POSITIONS angstrom
Na 3.012 2.349 1.964
Na 3.177 6.582 6.352
Ge 0.083 2.117 6.124
Ge 0.249 6.350 2.192
Te 1.425 4.694 0.439
Te 1.759 3.497 4.682
Te 4.930 8.470 0.439
Te 4.429 5.434 3.633
Te 4.264 1.201 4.682
Te 1.259 0.461 7.876
Te 1.925 7.730 3.633
Te 4.764 4.237 7.876
CELL_PARAMETERS angstrom
5.857 0.464 0.000
0.331 8.467 0.000
0.000 0.000 8.315
```

Calculated values
Total moment   0.00 μB per formula unit
DFT total energy   -0.1198 hartree per atom
Crystal system   monoclinic
V   411 Å³/cell
Theoretical density   4.90 g cm⁻³

no.,DOS(E_F) (states/eV/atom),formation energy from raw total energies (eV per atom)
1,0.59,0.075
2,0.27,-0.442
3,0.26,-0.176